GGA-PBE Li2SiF6, relaxed; DOS at the Fermi energy = 0.000 states/eV per atom; spin magnetization = 0.000 μB/cell; energy relative to the lowest polymorph listed for this composition = 4.7 meV/atom; theoretical density = 2.66 g/cm3; formation energy from raw total energies = -3.1185 eV/atom
1.0
-4.694 -1.747 -0.305
1.655 -4.161 -1.641
0.543 -2.791 7.625
F Li Si
12 4 2
Cartesian
-0.480 -1.666 -0.574
-0.449 -4.011 -0.131
0.263 -5.274 2.392
-2.758 -3.425 3.287
-2.016 -7.032 6.254
-2.394 -6.608 3.400
0.060 -2.928 4.574
-0.102 -2.091 2.280
-2.047 -4.687 5.810
-2.426 -2.739 0.478
-2.556 -5.771 1.105
-0.070 -5.960 5.202
-2.182 -1.720 2.157
0.935 -2.631 0.682
-0.314 -6.979 3.522
-3.430 -6.067 4.998
0.272 -1.395 3.813
-1.519 -2.954 -0.973